# UBeSi

Crystalline UBeSi at its relaxed geometry (PBE, the Alexandria database).

Results
E_form (uncorrected) ... 0.076 eV/atom
N(E_F) ... 5.057 states/eV/f.u.

Structure (CIF):
```
data_UBeSi
_chemical_formula_sum 'U2 Be2 Si2'
_space_group_name_H-M_alt 'P m m a'
_space_group_IT_number 51
_cell_length_a 3.904
_cell_length_b 4.342
_cell_length_c 5.823
_cell_angle_alpha 90.00
_cell_angle_beta 90.00
_cell_angle_gamma 90.00
loop_
_space_group_symop_operation_xyz
'x,y,z'
'-x,-y,-z'
'-x+1/2,-y,z'
'x+1/2,y,-z'
'x+1/2,-y,-z'
'-x+1/2,y,z'
'-x,y,-z'
'x,-y,z'
loop_
_atom_site_label
_atom_site_fract_x
_atom_site_fract_y
_atom_site_fract_z
_atom_site_occupancy
U1 0.250 0.000 0.223 1
Be1 0.000 0.500 0.500 1
Si1 0.250 0.500 0.857 1
```